[1]
Here is a relaxed GdTlHg crystal from OQMD via LeMat-Bulk. Energies are from GGA-PBE.

Computed properties:
- polymorph energy (0 for the lowest one) (kcal/mol of atoms) = 0.00
- E_tot (eV/atom) = -2.630
- symmetry = F-43m (216)

```
data_GdTlHg
_chemical_formula_sum 'Gd1 Tl1 Hg1'
_symmetry_space_group_name_H-M 'P 1'
_symmetry_Int_Tables_number 1
_symmetry_space_group_name_Hall 'P 1'
_cell_length_a 4.9536
_cell_length_b 4.9536
_cell_length_c 4.9536
_cell_angle_alpha 60.00
_cell_angle_beta 60.00
_cell_angle_gamma 60.00
loop_
_atom_site_label
_atom_site_type_symbol
_atom_site_fract_x
_atom_site_fract_y
_atom_site_fract_z
_atom_site_occupancy
Gd1 Gd 0.0000 0.0000 0.0000 1
Tl1 Tl 0.2500 0.2500 0.2500 1
Hg1 Hg 0.5000 0.5000 0.5000 1
```

=====

[2]
Here is a relaxed NbCoTcPb crystal from OQMD via LeMat-Bulk. Energies are from GGA-PBE.

Computed properties:
- polymorph energy (0 for the lowest one) (kcal/mol of atoms) = 0.00
- E_tot (eV/atom) = -7.533
- symmetry = F-43m (216)

```
data_NbCoTcPb
_chemical_formula_sum 'Nb1 Co1 Tc1 Pb1'
_symmetry_space_group_name_H-M 'P 1'
_symmetry_Int_Tables_number 1
_symmetry_space_group_name_Hall 'P 1'
_cell_length_a 4.5359
_cell_length_b 4.5359
_cell_length_c 4.5359
_cell_angle_alpha 60.00
_cell_angle_beta 60.00
_cell_angle_gamma 60.00
loop_
_atom_site_label
_atom_site_type_symbol
_atom_site_fract_x
_atom_site_fract_y
_atom_site_fract_z
_atom_site_occupancy
Nb1 Nb 0.0000 0.0000 0.0000 1
Co1 Co 0.7500 0.7500 0.7500 1
Tc1 Tc 0.2500 0.2500 0.2500 1
Pb1 Pb 0.5000 0.5000 0.5000 1
```

=====

What did the second record say?
Here is a relaxed NbCoTcPb crystal from OQMD via LeMat-Bulk. Energies are from GGA-PBE.

Computed properties:
- polymorph energy (0 for the lowest one) (kcal/mol of atoms) = 0.00
- E_tot (eV/atom) = -7.533
- symmetry = F-43m (216)

```
data_NbCoTcPb
_chemical_formula_sum 'Nb1 Co1 Tc1 Pb1'
_symmetry_space_group_name_H-M 'P 1'
_symmetry_Int_Tables_number 1
_symmetry_space_group_name_Hall 'P 1'
_cell_length_a 4.5359
_cell_length_b 4.5359
_cell_length_c 4.5359
_cell_angle_alpha 60.00
_cell_angle_beta 60.00
_cell_angle_gamma 60.00
loop_
_atom_site_label
_atom_site_type_symbol
_atom_site_fract_x
_atom_site_fract_y
_atom_site_fract_z
_atom_site_occupancy
Nb1 Nb 0.0000 0.0000 0.0000 1
Co1 Co 0.7500 0.7500 0.7500 1
Tc1 Tc 0.2500 0.2500 0.2500 1
Pb1 Pb 0.5000 0.5000 0.5000 1
```

=====

E_tot of number 1 (GdTlHg)?
-2.630 eV/atom